#one
Density functional theory data (PBE-GGA) for a geometry-optimized K2TlIr structure.

The structure in POSCAR format:
```
K2TlIr
1.0
-1.339 -3.679 -4.877
3.601 0.021 -5.114
0.598 -0.423 6.211
K Ir Tl
2 1 1
Cartesian
1.129 -1.826 -4.989
0.002 -0.003 -0.007
2.665 -1.115 -1.949
0.195 -2.965 -1.831
```

- ρ: 7.60 g/cm³
- Space group: Immm, No. 71

***

#two
Density functional theory data (PBE-GGA) for a geometry-optimized K2TlIr structure.

The structure in POSCAR format:
```
K2TlIr
1.0
3.328 -2.161 3.817
-1.339 0.337 5.330
-1.530 -4.521 2.745
Ir Tl K
1 1 2
Cartesian
0.000 0.000 0.000
0.230 -3.172 5.946
0.115 -1.586 2.973
0.344 -4.758 8.919
```

- ρ: 6.68 g/cm³
- Space group: Fm-3m, No. 225

***

Which structure is the least stable? The one labeled #two.

***

#one
Density functional theory data (PBE-GGA) for a geometry-optimized K2TlIr structure.

The structure in POSCAR format:
```
K2TlIr
1.0
5.292 0.000 0.000
2.646 4.583 0.000
2.646 1.528 4.321
Tl K Ir
1 2 1
Cartesian
7.937 4.583 3.240
2.646 1.528 1.080
0.000 0.000 0.000
5.292 3.055 2.160
```

- ρ: 7.53 g/cm³
- Space group: F-43m, No. 216

***

#two
Density functional theory data (PBE-GGA) for a geometry-optimized K2TlIr structure.

The structure in POSCAR format:
```
K2TlIr
1.0
-0.410 -0.124 -3.091
0.179 -3.114 0.097
-11.221 -0.597 1.511
K Ir Tl
2 1 1
Cartesian
-10.765 -0.573 1.449
-6.066 -0.323 0.817
-8.531 -2.067 -0.364
-2.921 -1.769 -1.120
```

- ρ: 7.14 g/cm³
- Space group: P4/mmm, No. 123

***

#three
Density functional theory data (PBE-GGA) for a geometry-optimized K2TlIr structure.

The structure in POSCAR format:
```
K2TlIr
1.0
-1.528 -4.085 0.518
3.961 -1.326 1.224
2.740 -0.214 6.395
K Tl Ir
2 1 1
Cartesian
1.216 -2.706 0.871
0.000 0.000 0.000
2.587 -2.813 4.069
1.370 -0.107 3.198
```

- ρ: 7.60 g/cm³
- Space group: Pmmm, No. 47

***

Which structure is the least stable? The one labeled #two.

***

#one
Density functional theory data (PBE-GGA) for a geometry-optimized K2TlIr structure.

The structure in POSCAR format:
```
K2TlIr
1.0
4.267 0.000 0.000
0.000 4.267 0.000
2.134 2.134 11.706
Tl Ir K
2 2 4
Cartesian
0.000 0.000 0.000
4.267 2.134 5.853
2.134 4.267 5.853
2.134 2.134 0.000
1.109 3.200 2.927
3.158 1.067 2.927
3.200 3.242 8.780
5.334 5.292 8.780
```

- ρ: 7.40 g/cm³
- Space group: I-42d, No. 122

***

#two
Density functional theory data (PBE-GGA) for a geometry-optimized K2TlIr structure.

The structure in POSCAR format:
```
K2TlIr
1.0
6.464 -0.091 0.026
5.168 3.883 0.026
2.482 0.809 5.029
Tl K Ir
1 2 1
Cartesian
7.559 2.464 2.264
10.757 3.507 3.719
11.338 3.697 0.209
3.151 1.027 1.484
```

- ρ: 6.15 g/cm³
- Space group: Cm, No. 8

***

#three
Density functional theory data (PBE-GGA) for a geometry-optimized K2TlIr structure.

The structure in POSCAR format:
```
K2TlIr
1.0
-1.914 2.561 -1.026
-2.122 -2.620 -2.583
-6.532 -1.942 7.334
K Ir Tl
2 1 1
Cartesian
-6.035 -1.795 6.777
-4.159 -0.666 0.600
-6.228 -1.281 2.923
-3.942 -1.172 4.427
```

- ρ: 5.52 g/cm³
- Space group: Pmm2, No. 25

***

#four
Density functional theory data (PBE-GGA) for a geometry-optimized K2TlIr structure.

The structure in POSCAR format:
```
K2TlIr
1.0
10.192 0.205 -0.105
9.589 3.461 -0.105
0.996 0.184 4.284
Ir K Tl
1 2 1
Cartesian
5.194 0.963 1.019
12.323 2.284 1.578
17.847 3.307 0.250
15.582 2.888 3.056
```

- ρ: 5.51 g/cm³
- Space group: C2/m, No. 12

***

Which structure is the least stable? The one labeled #one.

***

#one
Density functional theory data (PBE-GGA) for a geometry-optimized K2TlIr structure.

The structure in POSCAR format:
```
K2TlIr
1.0
-0.101 -5.160 -4.504
2.522 -1.417 5.236
-2.249 -2.870 0.258
Ir Tl K
1 1 2
Cartesian
1.211 -3.288 0.366
0.137 -2.143 2.747
-1.175 -4.015 -2.123
0.000 0.000 0.000
```

- ρ: 7.19 g/cm³
- Space group: C2/m, No. 12

***

#two
Density functional theory data (PBE-GGA) for a geometry-optimized K2TlIr structure.

The structure in POSCAR format:
```
K2TlIr
1.0
4.437 0.000 0.000
0.000 5.262 -0.014
0.000 2.648 6.048
Tl K Ir
1 2 1
Cartesian
0.000 4.942 3.068
0.000 7.580 5.478
2.218 2.308 2.009
2.218 4.947 4.531
```

- ρ: 5.58 g/cm³
- Space group: Amm2, No. 38

***

#three
Density functional theory data (PBE-GGA) for a geometry-optimized K2TlIr structure.

The structure in POSCAR format:
```
K2TlIr
1.0
-8.830 -4.497 -6.388
-8.129 -7.167 -4.643
-10.155 -4.909 -3.432
Ir K Tl
1 2 1
Cartesian
-20.336 -12.429 -10.847
-0.287 -0.175 -0.153
-13.271 -8.111 -7.079
-6.779 -4.143 -3.616
```

- ρ: 7.33 g/cm³
- Space group: R-3m, No. 166

***

Which structure is the least stable? The one labeled #three.